1.
Computed, not measured: an optimized crystal structure of K2SrP2O7 at the GGA-PBEsol level of DFT.

Unit cell a=9.1357 b=5.7053 c=14.7065 alpha=90.00 beta=105.63 gamma=90.00
With the nearest neighbours (Å) after each atom.
Sites, in units of the cell vectors:
K  0.0338  0.2328  0.1171  8 O 2.76-3.07
K  0.0338  0.2672  0.6171  8 O 2.76-3.07
K  0.4660  0.2404  0.6662  7 O 2.70-2.99
K  0.4660  0.2596  0.1662  7 O 2.70-2.99
K  0.5340  0.7404  0.8338  7 O 2.70-2.99
K  0.5340  0.7596  0.3338  7 O 2.70-2.99
K  0.9662  0.7328  0.3829  8 O 2.76-3.07
K  0.9662  0.7672  0.8829  8 O 2.76-3.07
Sr  0.2639  0.2254  0.3686  6 O 2.45-2.53
Sr  0.2639  0.2746  0.8686  6 O 2.45-2.53
Sr  0.7361  0.7254  0.1314  6 O 2.45-2.53
Sr  0.7361  0.7746  0.6314  6 O 2.45-2.53
P  0.1811  0.7306  0.1957  4 O 1.52-1.66
P  0.1811  0.7694  0.6957  4 O 1.52-1.66
P  0.3059  0.6977  0.5346  4 O 1.53-1.65
P  0.3059  0.8023  0.0346  4 O 1.53-1.65
P  0.6941  0.1977  0.9654  4 O 1.53-1.65
P  0.6941  0.3023  0.4654  4 O 1.53-1.65
P  0.8189  0.2306  0.3043  4 O 1.52-1.66
P  0.8189  0.2694  0.8043  4 O 1.52-1.66
O  0.0130  0.7294  0.1923  1 P 1.52
O  0.0130  0.7706  0.6923  1 P 1.52
O  0.1751  0.7012  0.0828  2 P 1.65-1.66
O  0.1751  0.7988  0.5828  2 P 1.65-1.66
O  0.2615  0.5379  0.7297  1 P 1.53
O  0.2615  0.9621  0.2297  1 P 1.53
O  0.2662  0.0623  0.0158  1 P 1.53
O  0.2662  0.4377  0.5158  1 P 1.53
O  0.2676  0.5149  0.2435  1 P 1.53
O  0.2676  0.9851  0.7435  1 P 1.53
O  0.2782  0.6619  0.9433  1 P 1.53
O  0.2782  0.8381  0.4433  1 P 1.53
O  0.4598  0.7403  0.6052  1 P 1.53
O  0.4598  0.7597  0.1052  1 P 1.53
O  0.5402  0.2403  0.8948  1 P 1.53
O  0.5402  0.2597  0.3948  1 P 1.53
O  0.7218  0.1619  0.5567  1 P 1.53
O  0.7218  0.3381  0.0567  1 P 1.53
O  0.7324  0.0149  0.2565  1 P 1.53
O  0.7324  0.4851  0.7565  1 P 1.53
O  0.7338  0.5623  0.4842  1 P 1.53
O  0.7338  0.9377  0.9842  1 P 1.53
O  0.7385  0.0379  0.7703  1 P 1.53
O  0.7385  0.4621  0.2703  1 P 1.53
O  0.8249  0.2012  0.4172  2 P 1.65-1.66
O  0.8249  0.2988  0.9172  2 P 1.65-1.66
O  0.9870  0.2294  0.3077  1 P 1.52
O  0.9870  0.2706  0.8077  1 P 1.52

Crystal system: monoclinic
Uncorrected formation energy in eV/atom: -2.5357

***

2.
Computed, not measured: an optimized crystal structure of CaSn2Pd at the GGA-PBEsol level of DFT.

Unit cell a=5.9559 b=5.9559 c=7.3752 alpha=90.00 beta=90.00 gamma=136.55
With the nearest neighbours (Å) after each atom.
Sites, in units of the cell vectors:
Ca  0.0707  0.9293  0.7500  3 Pd 3.02-3.34, 4 Sn 3.19
Ca  0.9293  0.0707  0.2500  3 Pd 3.02-3.34, 4 Sn 3.19
Sn  0.3593  0.6407  0.5443  3 Pd 2.76-2.78, 1 Sn 3.03
Sn  0.3593  0.6407  0.9557  3 Pd 2.76-2.78, 1 Sn 3.03
Sn  0.6407  0.3593  0.0443  3 Pd 2.76-2.78, 1 Sn 3.03
Sn  0.6407  0.3593  0.4557  3 Pd 2.76-2.78, 1 Sn 3.03
Pd  0.2026  0.7974  0.2500  6 Sn 2.76-2.78, 1 Ca 3.02
Pd  0.7974  0.2026  0.7500  6 Sn 2.76-2.78, 1 Ca 3.02

Crystal system: orthorhombic
E_form in eV/atom: -0.710

***

3.
Computed, not measured: an optimized crystal structure of SbOsPt2 at the GGA-PBEsol level of DFT.

Unit cell a=4.8630 b=4.8630 c=2.7862 alpha=90.00 beta=90.00 gamma=90.00
With the nearest neighbours (Å) after each atom.
Sites, in units of the cell vectors:
Sb  0.0000  0.0000  0.0000  2 Sb 2.79, 8 Pt 2.80
Os  0.5000  0.5000  0.0000  2 Os 2.79, 8 Pt 2.80
Pt  0.0000  0.5000  0.5000  2 Pt 2.79, 4 Sb 2.80, 4 Os 2.80
Pt  0.5000  0.0000  0.5000  2 Pt 2.79, 4 Sb 2.80, 4 Os 2.80

Crystal system: tetragonal
Uncorrected formation energy in eV/atom: 0.3388

***

4.
Computed, not measured: an optimized crystal structure of HfCl4 at the GGA-PBEsol level of DFT.

Unit cell a=6.5003 b=7.6165 c=6.1605 alpha=90.00 beta=108.87 gamma=90.00
With the nearest neighbours (Å) after each atom.
Sites, in units of the cell vectors:
Hf  0.0000  0.1561  0.2500  4 Cl 2.30-2.46
Hf  0.0000  0.8439  0.7500  4 Cl 2.30-2.46
Cl  0.2195  0.1037  0.9966  2 Hf 2.46-2.62
Cl  0.2195  0.8963  0.4966  2 Hf 2.46-2.62
Cl  0.2477  0.3503  0.4769  1 Hf 2.30
Cl  0.2477  0.6497  0.9769  1 Hf 2.30
Cl  0.7523  0.3503  0.0231  1 Hf 2.30
Cl  0.7523  0.6497  0.5231  1 Hf 2.30
Cl  0.7805  0.1037  0.5034  2 Hf 2.46-2.62
Cl  0.7805  0.8963  0.0034  2 Hf 2.46-2.62

Crystal system: monoclinic
Uncorrected formation energy in eV/atom: -1.8093

***

5.
Computed, not measured: an optimized crystal structure of InTcGe3 at the GGA-PBEsol level of DFT.

Unit cell a=5.0398 b=5.0398 c=5.0398 alpha=90.00 beta=90.00 gamma=90.00
With the nearest neighbours (Å) after each atom.
Sites, in units of the cell vectors:
In  0.0000  0.0000  0.0000  6 Ge 2.52
Tc  0.5000  0.5000  0.5000  12 Ge 3.56
Ge  0.0000  0.0000  0.5000  2 In 2.52
Ge  0.0000  0.5000  0.0000  2 In 2.52
Ge  0.5000  0.0000  0.0000  2 In 2.52

Crystal system: cubic
E_form in eV/atom: 1.685

***

6.
Computed, not measured: an optimized crystal structure of Bi7I2 at the GGA-PBEsol level of DFT.

Unit cell a=11.2532 b=4.3895 c=13.2090 alpha=90.00 beta=91.81 gamma=90.00
With the nearest neighbours (Å) after each atom.
Sites, in units of the cell vectors:
Bi  0.0235  0.2500  0.2507  3 Bi 3.04-3.08
Bi  0.0886  0.2500  0.0260  3 Bi 3.03-3.08
Bi  0.1234  0.7500  0.5275  4 Bi 3.05-3.41
Bi  0.2000  0.7500  0.3073  3 Bi 3.04-3.06
Bi  0.2301  0.2500  0.8004  3 Bi 3.04-3.07
Bi  0.3024  0.2500  0.5805  3 Bi 3.04-3.05
Bi  0.4127  0.7500  0.8524  2 I 3.07-3.14, 2 Bi 3.07
Bi  0.5873  0.2500  0.1476  2 I 3.07-3.14, 2 Bi 3.07
Bi  0.6976  0.7500  0.4195  3 Bi 3.04-3.05
Bi  0.7699  0.7500  0.1996  3 Bi 3.04-3.07
Bi  0.8000  0.2500  0.6927  3 Bi 3.04-3.06
Bi  0.8766  0.2500  0.4725  4 Bi 3.05-3.41
Bi  0.9114  0.7500  0.9740  3 Bi 3.03-3.08
Bi  0.9765  0.7500  0.7493  3 Bi 3.04-3.08
I  0.3467  0.7500  0.0758  1 Bi 3.07
I  0.4566  0.2500  0.3538  2 Bi 3.14-3.51
I  0.5434  0.7500  0.6462  2 Bi 3.14-3.51
I  0.6533  0.2500  0.9242  1 Bi 3.07

Crystal system: monoclinic
Uncorrected formation energy in eV/atom: -0.1002

***

7.
Computed, not measured: an optimized crystal structure of ZnTc at the GGA-PBEsol level of DFT.

Unit cell a=2.6781 b=4.3398 c=4.7374 alpha=90.00 beta=90.00 gamma=90.00
With the nearest neighbours (Å) after each atom.
Sites, in units of the cell vectors:
Zn  0.2500  0.2500  0.0779  6 Zn 2.65-2.68, 6 Tc 2.70-2.74
Zn  0.7500  0.7500  0.9221  6 Zn 2.65-2.68, 6 Tc 2.70-2.74
Tc  0.2500  0.7500  0.4176  6 Tc 2.67-2.68, 6 Zn 2.70-2.74
Tc  0.7500  0.2500  0.5824  6 Tc 2.67-2.68, 6 Zn 2.70-2.74

Crystal system: orthorhombic
E_form in eV/atom: 0.143
ΔE to the lowest computed polymorph in meV/atom: 190

***

8.
Computed, not measured: an optimized crystal structure of KNiF3 at the GGA-PBEsol level of DFT.

Unit cell a=3.9895 b=3.9895 c=3.9895 alpha=90.00 beta=90.00 gamma=90.00
With the nearest neighbours (Å) after each atom.
Sites, in units of the cell vectors:
K  0.0000  0.0000  0.0000  12 F 2.82
Ni  0.5000  0.5000  0.5000  6 F 1.99
F  0.0000  0.5000  0.5000  2 Ni 1.99
F  0.5000  0.0000  0.5000  2 Ni 1.99
F  0.5000  0.5000  0.0000  2 Ni 1.99

Crystal system: cubic
Uncorrected formation energy in eV/atom: -2.1258

***

9.
Computed, not measured: an optimized crystal structure of In2SbMo at the GGA-PBEsol level of DFT.

Unit cell a=7.1455 b=7.1455 c=7.1455 alpha=156.14 beta=140.60 gamma=46.58
With the nearest neighbours (Å) after each atom.
Sites, in units of the cell vectors:
In  0.0000  0.0000  0.0000  2 Mo 2.89, 2 In 2.95
In  0.6772  0.1772  0.5000  4 Mo 2.83, 2 In 2.95
Sb  0.3697  0.3697  0.0000  2 Mo 2.79, 2 Sb 2.95
Mo  0.1896  0.6896  0.5000  2 Sb 2.79, 6 In 2.83-2.89, 2 Mo 2.95

Crystal system: orthorhombic
Uncorrected formation energy in eV/atom: 0.2512

***

10.
Computed, not measured: an optimized crystal structure of Tb3Ge5 at the GGA-PBEsol level of DFT.

Unit cell a=6.8181 b=6.8181 c=8.2647 alpha=90.00 beta=90.00 gamma=120.00
With the nearest neighbours (Å) after each atom.
Sites, in units of the cell vectors:
Tb  0.0000  0.3303  0.0000  8 Ge 2.92-3.08
Tb  0.0000  0.3303  0.5000  8 Ge 2.92-3.08
Tb  0.3303  0.0000  0.0000  8 Ge 2.92-3.08
Tb  0.3303  0.0000  0.5000  8 Ge 2.92-3.08
Tb  0.6697  0.6697  0.0000  8 Ge 2.92-3.08
Tb  0.6697  0.6697  0.5000  8 Ge 2.92-3.08
Ge  0.0000  0.0000  0.2500  3 Ge 2.55
Ge  0.0000  0.0000  0.7500  3 Ge 2.55
Ge  0.0725  0.6679  0.2500  2 Ge 2.55-2.56
Ge  0.3321  0.4046  0.2500  2 Ge 2.55-2.56
Ge  0.3333  0.6667  0.7500  3 Ge 2.56
Ge  0.4046  0.3321  0.7500  2 Ge 2.55-2.56
Ge  0.5954  0.9275  0.2500  2 Ge 2.55-2.56
Ge  0.6667  0.3333  0.2500  3 Ge 2.56
Ge  0.6679  0.0725  0.7500  2 Ge 2.55-2.56
Ge  0.9275  0.5954  0.7500  2 Ge 2.55-2.56

Crystal system: hexagonal
E_form in eV/atom: -0.794

***

11.
Computed, not measured: an optimized crystal structure of Y7Zn at the GGA-PBEsol level of DFT.

Unit cell a=3.5131 b=3.5131 c=18.4704 alpha=90.00 beta=90.00 gamma=90.00
With the nearest neighbours (Å) after each atom.
Sites, in units of the cell vectors:
Y  0.0000  0.0000  0.0000  4 Zn 3.04
Y  0.0000  0.0000  0.1888  4 Zn 3.03
Y  0.0000  0.0000  0.4597  12 Y 3.50-3.51
Y  0.0000  0.0000  0.7287  12 Y 3.50-3.51
Y  0.5000  0.5000  0.3264  12 Y 3.50-3.55
Y  0.5000  0.5000  0.5942  12 Y 3.51
Y  0.5000  0.5000  0.8622  12 Y 3.50-3.56
Zn  0.5000  0.5000  0.0945  8 Y 3.03-3.04

Crystal system: tetragonal
E_form in eV/atom: -0.075